Sc2GeRh2: relaxed, PBE.

- mass density (g/cm3) = 6.971
- energy relative to the elements (meV/atom) = -757
- space group = P4/mbm (127)
- total magnetization (μB per cell) = 0.0

a = 6.9451 Å, b = 6.9451 Å, c = 3.6384 Å
α = 90.00°, β = 90.00°, γ = 90.00°
Sites, in units of the cell vectors:
Sc 0.1687 0.6687 0.5000
Sc 0.6687 0.8313 0.5000
Sc 0.8313 0.3313 0.5000
Sc 0.3313 0.1687 0.5000
Ge 0.0000 0.0000 0.0000
Ge 0.5000 0.5000 0.0000
Rh 0.3580 0.8580 0.0000
Rh 0.8580 0.6420 0.0000
Rh 0.6420 0.1420 0.0000
Rh 0.1420 0.3580 0.0000